1.
Compound: Zn2CoW
Source: Alexandria via LeMat-Bulk
Functional: PBE-GGA
Structure: optimized geometry

```
data_Zn2CoW
_cell_length_a 2.747
_cell_length_b 4.521
_cell_length_c 8.889
_cell_angle_alpha 90.00
_cell_angle_beta 90.00
_cell_angle_gamma 90.00
_symmetry_space_group_name_H-M 'I m m 2'
_symmetry_Int_Tables_number 44
loop_
_symmetry_equiv_pos_as_xyz
'x,y,z'
'-x,-y,z'
'-x,y,z'
'x,-y,z'
'x+1/2,y+1/2,z+1/2'
'-x+1/2,-y+1/2,z+1/2'
'-x+1/2,y+1/2,z+1/2'
'x+1/2,-y+1/2,z+1/2'
loop_
_atom_site_label
_atom_site_type_symbol
_atom_site_fract_x
_atom_site_fract_y
_atom_site_fract_z
Zn1 Zn 0.000 0.000 0.000
Zn2 Zn 0.000 0.500 0.242
Co1 Co 0.000 0.500 0.737
W1 W 0.000 0.000 0.471
```

Offset from the most stable computed form in eV per atom: 0.219
N(E_F) in states/eV/atom: 0.653
ΔE_f in eV/atom: 0.26

2.
Compound: Zn2CoW2
Source: Alexandria via LeMat-Bulk
Functional: PBE-GGA
Structure: optimized geometry

```
data_Zn2CoW2
_cell_length_a 3.600
_cell_length_b 3.600
_cell_length_c 12.757
_cell_angle_alpha 90.00
_cell_angle_beta 90.00
_cell_angle_gamma 90.00
_symmetry_space_group_name_H-M 'I 4/m m m'
_symmetry_Int_Tables_number 139
_symmetry_space_group_name_Hall '-I 4 2'
loop_
_atom_site_label
_atom_site_type_symbol
_atom_site_fract_x
_atom_site_fract_y
_atom_site_fract_z
Zn1 Zn 0.000 0.000 0.090
Co1 Co 0.000 0.000 0.500
W1 W 0.000 0.500 0.250
```

Offset from the most stable computed form in eV per atom: 0.286
N(E_F) in states/eV/atom: 0.751
ΔE_f in eV/atom: 0.84

- Which formula does entry 2 have?
  Zn2CoW2

- What is the formula in the second record?
  Zn2CoW2

- Which value of offset from the most stable computed form does entry 1 give?
  0.219 eV per atom

Please write out number 1 again, unchanged.
Compound: Zn2CoW
Source: Alexandria via LeMat-Bulk
Functional: PBE-GGA
Structure: optimized geometry

```
data_Zn2CoW
_cell_length_a 2.747
_cell_length_b 4.521
_cell_length_c 8.889
_cell_angle_alpha 90.00
_cell_angle_beta 90.00
_cell_angle_gamma 90.00
_symmetry_space_group_name_H-M 'I m m 2'
_symmetry_Int_Tables_number 44
loop_
_symmetry_equiv_pos_as_xyz
'x,y,z'
'-x,-y,z'
'-x,y,z'
'x,-y,z'
'x+1/2,y+1/2,z+1/2'
'-x+1/2,-y+1/2,z+1/2'
'-x+1/2,y+1/2,z+1/2'
'x+1/2,-y+1/2,z+1/2'
loop_
_atom_site_label
_atom_site_type_symbol
_atom_site_fract_x
_atom_site_fract_y
_atom_site_fract_z
Zn1 Zn 0.000 0.000 0.000
Zn2 Zn 0.000 0.500 0.242
Co1 Co 0.000 0.500 0.737
W1 W 0.000 0.000 0.471
```

Offset from the most stable computed form in eV per atom: 0.219
N(E_F) in states/eV/atom: 0.653
ΔE_f in eV/atom: 0.26